Entry 1:
# SrLa2Te | Alexandria | GGA-PBE | optimized geometry
# VASP energy, eV per atom: -4.296
# Space group: R3m
# Density, g/cm³: 5.084
data_SrLa2Te
_cell_length_a 4.163
_cell_length_b 4.163
_cell_length_c 32.191
_cell_angle_alpha 90.00
_cell_angle_beta 90.00
_cell_angle_gamma 120.00
_symmetry_space_group_name_H-M 'P 1'
_symmetry_Int_Tables_number 1
loop_
_symmetry_equiv_pos_as_xyz
'x,y,z'
loop_
_atom_site_label
_atom_site_type_symbol
_atom_site_fract_x
_atom_site_fract_y
_atom_site_fract_z
Sr1 Sr 0.000 0.000 0.000
Sr2 Sr 0.333 0.667 0.667
Sr3 Sr 0.667 0.333 0.333
La1 La 0.000 0.000 0.226
La2 La 0.000 0.000 0.469
La3 La 0.333 0.667 0.135
La4 La 0.333 0.667 0.893
La5 La 0.667 0.333 0.560
La6 La 0.667 0.333 0.802
Te1 Te 0.000 0.000 0.735
Te2 Te 0.333 0.667 0.402
Te3 Te 0.667 0.333 0.069

***

Entry 2:
# MnCoTeOs2 | Alexandria | GGA-PBE | optimized geometry
# VASP energy, eV per atom: -7.069
# Space group: P4/mmm
# Density, g/cm³: 11.448
data_MnCoTeOs2
_cell_length_a 4.491
_cell_length_b 4.491
_cell_length_c 4.472
_cell_angle_alpha 90.00
_cell_angle_beta 90.00
_cell_angle_gamma 90.00
_symmetry_space_group_name_H-M 'P 1'
_symmetry_Int_Tables_number 1
loop_
_symmetry_equiv_pos_as_xyz
'x,y,z'
loop_
_atom_site_label
_atom_site_type_symbol
_atom_site_fract_x
_atom_site_fract_y
_atom_site_fract_z
Mn1 Mn 0.000 0.000 0.000
Co1 Co 0.000 0.000 0.500
Te1 Te 0.500 0.500 0.000
Os1 Os 0.000 0.500 0.500
Os2 Os 0.500 0.000 0.500

***

no.,calculated volume (Å³/cell)
1,483.1
2,90.2